No. 1
Crystalline SnGe2Pt2 at its relaxed geometry, computed with PBE.

Cell lengths 8.966, 3.743, 5.983 Å; angles 90.00, 103.54, 90.00 degrees
Positions (direct):
Sn 0.000 0.000 0.000
Sn 0.500 0.500 0.000
Ge 0.143 0.500 0.552
Ge 0.357 0.000 0.448
Ge 0.643 0.000 0.552
Ge 0.857 0.500 0.448
Pt 0.243 0.500 0.186
Pt 0.257 0.000 0.814
Pt 0.743 0.000 0.186
Pt 0.757 0.500 0.814

M_tot = 0.000 μB per cell
Energy above the most stable polymorph in this dataset = 0 meV per atom
Raw total energy = -5.47 eV per atom

No. 2
Crystalline Cd4NF6 at its relaxed geometry, computed with PBE.

Cell lengths 7.764, 7.764, 5.399 Å; angles 90.00, 90.00, 90.00 degrees
Positions (direct):
Cd 0.004 0.250 0.062
Cd 0.250 0.004 0.562
Cd 0.250 0.496 0.562
Cd 0.496 0.250 0.062
Cd 0.504 0.750 0.938
Cd 0.750 0.504 0.438
Cd 0.750 0.996 0.438
Cd 0.996 0.750 0.938
N 0.250 0.750 0.750
N 0.750 0.250 0.250
F 0.043 0.543 0.250
F 0.043 0.957 0.250
F 0.250 0.250 0.338
F 0.250 0.250 0.838
F 0.457 0.543 0.250
F 0.457 0.957 0.250
F 0.543 0.043 0.750
F 0.543 0.457 0.750
F 0.750 0.750 0.162
F 0.750 0.750 0.662
F 0.957 0.043 0.750
F 0.957 0.457 0.750

Energy relative to the elements, uncorrected = -1.58 eV per atom
M_tot = 2.012 μB per cell
Raw total energy = -3.69 eV per atom

No. 3
Crystalline Ni2MoP2 at its relaxed geometry, computed with PBE.

Cell lengths 6.436, 6.436, 2.995 Å; angles 90.00, 90.00, 90.00 degrees
Positions (direct):
Ni 0.140 0.360 0.000
Ni 0.360 0.860 0.000
Ni 0.640 0.140 0.000
Ni 0.860 0.640 0.000
Mo 0.000 0.000 0.500
Mo 0.500 0.500 0.500
P 0.153 0.653 0.500
P 0.347 0.153 0.500
P 0.653 0.847 0.500
P 0.847 0.347 0.500

M_tot = 0.000 μB per cell
Raw total energy = -6.94 eV per atom